[1]
Density functional theory data (PBE) for an optimized crystal structure of BaAc2Sn.

## Properties
ΔE to the lowest computed polymorph in eV per atom: 0.0000
Magnetic moment in μB per atom: 0.0001
Crystal system: orthorhombic
Formation enthalpy at 0 K in eV per atom: -0.3199

Structure (extended XYZ):
```
8
Lattice="2.4133 -6.9973 0.0000 2.4133 6.9973 0.0000 0.0000 0.0000 10.3884" Properties=species:S:1:pos:R:3 pbc="T T T"
Ba 2.4133 6.1720 7.7913
Ba 2.4133 -6.1720 2.5971
Ac 2.4133 2.0825 5.7226
Ac 2.4133 2.0825 9.8599
Ac 2.4133 -2.0825 0.5285
Ac 2.4133 -2.0825 4.6657
Sn 2.4133 3.5734 2.5971
Sn 2.4133 -3.5734 7.7913
```

=====

[2]
Density functional theory data (PBE) for an optimized crystal structure of ThNi3.

## Properties
Magnetic moment in μB per atom: 0.0000
Crystal system: cubic
Formation enthalpy at 0 K in eV per atom: -0.2966

Structure (extended XYZ):
```
4
Lattice="3.9648 0.0000 0.0000 0.0000 3.9648 0.0000 0.0000 0.0000 3.9648" Properties=species:S:1:pos:R:3 pbc="T T T"
Th 0.0000 0.0000 0.0000
Ni 0.0000 1.9824 1.9824
Ni 1.9824 0.0000 1.9824
Ni 1.9824 1.9824 0.0000
```

=====

[3]
Density functional theory data (PBE) for an optimized crystal structure of KInPdPb.

## Properties
Magnetic moment in μB per atom: 0.0000
Crystal system: trigonal
Formation enthalpy at 0 K in eV per atom: -0.2340

Structure (extended XYZ):
```
4
Lattice="2.3952 1.3829 6.1926 -2.3952 1.3829 6.1926 0.0000 -2.7657 6.1926" Properties=species:S:1:pos:R:3 pbc="T T T"
K 0.0000 0.0000 0.0000
In 0.0000 0.0000 8.5633
Pd 0.0000 0.0000 15.0983
Pb 0.0000 0.0000 3.7925
```

=====

[4]
Density functional theory data (PBE) for an optimized crystal structure of AcGd5.

## Properties
Magnetic moment in μB per atom: 1.2666
Crystal system: orthorhombic
Formation enthalpy at 0 K in eV per atom: 0.0961

Structure (extended XYZ):
```
6
Lattice="3.0032 -5.8195 0.0000 3.0032 5.8195 0.0000 0.0000 0.0000 5.9475" Properties=species:S:1:pos:R:3 pbc="T T T"
Ac 0.0000 0.0000 0.0000
Gd 3.0032 3.7285 2.9738
Gd 3.0032 2.0161 0.0000
Gd 3.0032 0.0000 2.9738
Gd 3.0032 -2.0161 0.0000
Gd 3.0032 -3.7285 2.9738
```